1.
A plane-wave DFT calculation with PBE-GGA was carried out for Sm4GaTe after structural relaxation.

Lattice parameters (Å, degrees): 6.201 6.489 8.631 90.00 91.61 90.00
Element x y z (fractional)
Sm (0.115, 0.250, 0.354)
Sm (0.159, 0.750, 0.058)
Sm (0.360, 0.005, 0.691)
Sm (0.360, 0.495, 0.691)
Sm (0.640, 0.505, 0.309)
Sm (0.640, 0.995, 0.309)
Sm (0.841, 0.250, 0.942)
Sm (0.885, 0.750, 0.646)
Ga (0.212, 0.750, 0.397)
Ga (0.788, 0.250, 0.603)
Te (0.334, 0.250, 0.029)
Te (0.666, 0.750, 0.971)

Output
Formation energy (no corrections) (eV per atom): -0.6492
Energy above the lowest structure with this stoichiometry (meV per atom): 0
Fermi-level density of states (states/eV/cell): 9.6



2.
A plane-wave DFT calculation with PBE-GGA was carried out for CSe2 after structural relaxation.

Lattice parameters (Å, degrees): 5.921 5.921 5.921 90.00 90.00 90.00
Element x y z (fractional)
C (0.000, 0.000, 0.000)
C (0.000, 0.500, 0.500)
C (0.500, 0.000, 0.500)
C (0.500, 0.500, 0.000)
Se (0.119, 0.619, 0.881)
Se (0.119, 0.881, 0.381)
Se (0.381, 0.119, 0.881)
Se (0.381, 0.381, 0.381)
Se (0.619, 0.619, 0.619)
Se (0.619, 0.881, 0.119)
Se (0.881, 0.119, 0.619)
Se (0.881, 0.381, 0.119)

Output
Formation energy (no corrections) (eV per atom): 1.5765
Energy above the lowest structure with this stoichiometry (meV per atom): 1016
Fermi-level density of states (states/eV/cell): 2.1



3.
A plane-wave DFT calculation with PBE-GGA was carried out for Cs6Au3Br2Cl after structural relaxation.

Lattice parameters (Å, degrees): 8.971 8.971 9.061 99.50 99.50 119.99
Element x y z (fractional)
Cs (0.081, 0.406, 0.743)
Cs (0.244, 0.244, 0.256)
Cs (0.406, 0.081, 0.743)
Cs (0.594, 0.919, 0.257)
Cs (0.756, 0.756, 0.744)
Cs (0.919, 0.594, 0.257)
Au (0.169, 0.831, 0.000)
Au (0.500, 0.500, 0.000)
Au (0.831, 0.169, 0.000)
Br (0.334, 0.666, 0.500)
Br (0.666, 0.334, 0.500)
Cl (0.000, 0.000, 0.500)

Output
Formation energy (no corrections) (eV per atom): -1.0795
Fermi-level density of states (states/eV/cell): 0.0



4.
A plane-wave DFT calculation with PBE-GGA was carried out for CsRb after structural relaxation.

Lattice parameters (Å, degrees): 5.856 5.856 5.856 90.00 90.00 90.00
Element x y z (fractional)
Cs (0.000, 0.000, 0.000)
Rb (0.500, 0.500, 0.500)

Output
Energy above the lowest structure with this stoichiometry (meV per atom): 0
ΔH_f (0 K) (eV/f.u.): 0.00
Fermi-level density of states (states/eV/cell): 1.8



5.
A plane-wave DFT calculation with PBE-GGA was carried out for TbEr4Mg5 after structural relaxation.

Lattice parameters (Å, degrees): 3.774 3.774 18.839 90.00 90.00 90.00
Element x y z (fractional)
Tb (0.000, 0.000, 0.000)
Er (0.000, 0.000, 0.201)
Er (0.000, 0.000, 0.401)
Er (0.000, 0.000, 0.599)
Er (0.000, 0.000, 0.799)
Mg (0.500, 0.500, 0.102)
Mg (0.500, 0.500, 0.301)
Mg (0.500, 0.500, 0.500)
Mg (0.500, 0.500, 0.699)
Mg (0.500, 0.500, 0.898)

Output
ΔH_f (0 K) (eV/f.u.): -0.70
Fermi-level density of states (states/eV/cell): 14.5



6.
A plane-wave DFT calculation with PBE-GGA was carried out for Ce2BiNO after structural relaxation.

Lattice parameters (Å, degrees): 7.189 7.189 7.189 147.57 147.57 46.52
Element x y z (fractional)
Ce (0.164, 0.164, 0.000)
Ce (0.836, 0.836, 0.000)
Bi (0.500, 0.500, 0.000)
N (0.250, 0.750, 0.500)
O (0.750, 0.250, 0.500)

Output
Formation energy (no corrections) (eV per atom): -1.9694
Fermi-level density of states (states/eV/cell): 5.9



7.
A plane-wave DFT calculation with PBE-GGA was carried out for LaCuNi3 after structural relaxation.

Lattice parameters (Å, degrees): 4.431 4.431 4.431 90.00 90.00 90.00
Element x y z (fractional)
La (0.000, 0.000, 0.000)
Cu (0.500, 0.500, 0.500)
Ni (0.000, 0.500, 0.500)
Ni (0.500, 0.000, 0.500)
Ni (0.500, 0.500, 0.000)

Output
Energy above the lowest structure with this stoichiometry (meV per atom): 420
ΔH_f (0 K) (eV/f.u.): 1.04
Fermi-level density of states (states/eV/cell): 3.3



For each record above, in turn, the calculated calculated volume values are 347 208 596 201 268 106 87 Å³ per cell.
For each record above, in turn, the calculated total DFT energy (no corrections) values are -4.82 -3.82 -2.76 -0.91 -3.16 -7.78 -5.07 eV per atom.